# PBE-GGA Ag2SnBr8, relaxed
data_Ag2SnBr8
_cell_length_a 11.7047
_cell_length_b 11.4018
_cell_length_c 7.1388
_cell_angle_alpha 90.00
_cell_angle_beta 115.06
_cell_angle_gamma 90.00
_symmetry_space_group_name_H-M 'C 1 2/m 1'
_symmetry_Int_Tables_number 12
_symmetry_space_group_name_Hall '-C 2y'
loop_
_atom_site_label
_atom_site_type_symbol
_atom_site_fract_x
_atom_site_fract_y
_atom_site_fract_z
_atom_site_occupancy
Ag1 Ag 0.1542 0.0000 0.1165 1
Sn1 Sn 0.0000 0.0000 0.5000 1
Br1 Br 0.0774 0.1637 0.3178 1
Br2 Br 0.0789 0.5000 0.6746 1
Br3 Br 0.2323 0.0000 0.8222 1
# Energy relative to the elements, uncorrected ... -381 meV/atom
# Magnetization ... 0.0 μB per cell



# PBE-GGA Ag3Sn2Br8, relaxed
data_Ag3Sn2Br8
_cell_length_a 15.8852
_cell_length_b 8.3248
_cell_length_c 7.0071
_cell_angle_alpha 90.00
_cell_angle_beta 114.50
_cell_angle_gamma 90.00
_symmetry_space_group_name_H-M 'C 1 2/m 1'
_symmetry_Int_Tables_number 12
_symmetry_space_group_name_Hall '-C 2y'
loop_
_atom_site_label
_atom_site_type_symbol
_atom_site_fract_x
_atom_site_fract_y
_atom_site_fract_z
_atom_site_occupancy
Ag1 Ag 0.0000 0.0000 0.0000 1
Ag2 Ag 0.0000 0.2526 0.5000 1
Sn1 Sn 0.2096 0.5000 0.1901 1
Br1 Br 0.1060 0.0000 0.4224 1
Br2 Br 0.1155 0.2444 0.9383 1
Br3 Br 0.1181 0.5000 0.4418 1
# E above lowest polymorph ... 0.0 meV/atom
# Energy relative to the elements, uncorrected ... -479 meV/atom
# Magnetization ... 0.0 μB per cell